Below is a relaxed structure of CaPm2Cu, with properties calculated at the PBE level.

Values from the calculation:
Raw total energy in eV/f.u.: -15.7
Total moment in μB per cell: 0.00
Symmetry: P4/mmm

Cell: 3.6430 3.6430 9.1976 Å, 90.00 90.00 90.00°
Last column: nearest neighbours and their distance in Å.
Fractional positions:
Ca: 0.0000 0.0000 0.0000  4 Ca 3.64, 8 Pm 3.91
Pm: 0.5000 0.5000 0.3199  4 Cu 3.06, 1 Pm 3.31
Pm: 0.5000 0.5000 0.6801  4 Cu 3.06, 1 Pm 3.31
Cu: 0.0000 0.0000 0.5000  8 Pm 3.06